! Li3TbDy2S6, relaxed, DFT PBE; values from VASP
&SYSTEM
  ibrav = 0, nat = 12, ntyp = 4
/
ATOMIC_SPECIES
S 32.06 S.upf
Li 6.94 Li.upf
Dy 162.50 Dy.upf
Tb 158.93 Tb.upf
CELL_PARAMETERS angstrom
-3.906 5.429 1.170
0.363 -2.639 -6.246
-3.587 -4.637 2.981
ATOMIC_POSITIONS crystal
S 0.749 0.749 0.251
S 0.916 0.582 0.749
Li 0.167 0.833 0.500
Li 0.833 0.167 0.500
Dy 0.333 0.667 0.000
S 0.418 0.084 0.251
S 0.251 0.251 0.749
Dy 0.667 0.333 0.000
S 0.582 0.916 0.749
Li 0.500 0.500 0.500
Tb 0.000 0.000 0.000
S 0.084 0.418 0.251
! Space group = C2/m (12)
! Total energy = -66.52 eV/cell
! Size of the total moment = 0.00 μB/f.u.

---

! Li4TbDy3S8, relaxed, DFT PBE; values from VASP
&SYSTEM
  ibrav = 0, nat = 16, ntyp = 4
/
ATOMIC_SPECIES
S 32.06 S.upf
Li 6.94 Li.upf
Dy 162.50 Dy.upf
Tb 158.93 Tb.upf
CELL_PARAMETERS angstrom
7.837 0.000 0.000
0.000 7.660 -0.134
-3.919 -3.915 5.542
ATOMIC_POSITIONS crystal
S 0.251 0.751 0.502
S 0.251 0.249 0.000
Li 0.000 0.000 0.000
S 0.749 0.751 0.000
Dy 0.500 0.500 0.000
S 0.750 0.750 0.500
S 0.749 0.249 0.000
Li 0.500 0.000 0.500
Li 0.000 0.000 0.500
S 0.749 0.249 0.498
Li 0.500 0.000 0.000
Dy 0.500 0.500 0.500
S 0.250 0.250 0.500
Dy 0.000 0.500 0.500
Tb 0.000 0.500 0.000
S 0.251 0.751 0.000
! Space group = R-3m (166)
! Total energy = -88.69 eV/cell
! Size of the total moment = 0.00 μB/f.u.

---

! LiTb3Dy3S8, relaxed, DFT PBE; values from VASP
&SYSTEM
  ibrav = 0, nat = 15, ntyp = 4
/
ATOMIC_SPECIES
Tb 158.93 Tb.upf
Li 6.94 Li.upf
Dy 162.50 Dy.upf
S 32.06 S.upf
CELL_PARAMETERS angstrom
7.781 0.000 0.000
-3.890 6.738 -0.023
0.000 -4.470 6.375
ATOMIC_POSITIONS crystal
Tb 0.000 0.000 0.000
Li 0.000 0.000 0.500
Dy 0.500 0.000 0.500
Tb 0.500 0.500 0.000
S 0.754 0.999 0.744
S 0.755 0.510 0.256
Dy 0.000 0.500 0.500
S 0.755 0.001 0.256
S 0.749 0.499 0.748
S 0.245 0.999 0.744
S 0.245 0.490 0.744
S 0.251 0.501 0.252
Dy 0.500 0.500 0.500
Tb 0.000 0.500 0.000
S 0.246 0.001 0.256
! Space group = R-3m (166)
! Total energy = -92.71 eV/cell
! Size of the total moment = 0.00 μB/f.u.

---

! LiTb2Dy3S6, relaxed, DFT PBE; values from VASP
&SYSTEM
  ibrav = 0, nat = 12, ntyp = 4
/
ATOMIC_SPECIES
Li 6.94 Li.upf
S 32.06 S.upf
Dy 162.50 Dy.upf
Tb 158.93 Tb.upf
CELL_PARAMETERS angstrom
-3.078 -5.822 -1.455
6.424 0.013 2.055
-3.055 1.463 5.839
ATOMIC_POSITIONS crystal
Li 0.000 0.000 0.000
S 0.918 0.592 0.752
S 0.758 0.758 0.244
Dy 0.834 0.166 0.500
S 0.242 0.242 0.756
Dy 0.500 0.500 0.500
S 0.408 0.082 0.248
Tb 0.334 0.666 0.000
Dy 0.166 0.834 0.500
S 0.082 0.408 0.248
Tb 0.666 0.334 0.000
S 0.592 0.918 0.752
! Space group = C2/m (12)
! Total energy = -73.33 eV/cell
! Size of the total moment = 0.00 μB/f.u.

---

! LiDy3Th3S8, relaxed, DFT PBE; values from VASP
&SYSTEM
  ibrav = 0, nat = 15, ntyp = 4
/
ATOMIC_SPECIES
S 32.06 S.upf
Li 6.94 Li.upf
Dy 162.50 Dy.upf
Th 232.04 Th.upf
CELL_PARAMETERS angstrom
7.855 0.000 0.000
-3.927 6.803 -0.024
0.000 -4.512 6.529
ATOMIC_POSITIONS crystal
S 0.255 0.510 0.266
S 0.745 0.490 0.734
Li 0.000 0.000 0.500
S 0.756 0.512 0.263
Dy 0.500 0.000 0.500
S 0.749 0.993 0.737
Dy 0.500 0.500 0.500
Th 0.000 0.500 0.000
S 0.244 0.488 0.737
Dy 0.000 0.500 0.500
S 0.244 0.993 0.737
S 0.756 0.007 0.263
Th 0.500 0.500 0.000
S 0.251 0.007 0.263
Th 0.000 0.000 0.000
! Space group = R-3m (166)
! Total energy = -99.49 eV/cell
! Size of the total moment = 0.00 μB/f.u.

---

! Li3Dy2TiS6, relaxed, DFT PBE; values from VASP
&SYSTEM
  ibrav = 0, nat = 12, ntyp = 4
/
ATOMIC_SPECIES
S 32.06 S.upf
Li 6.94 Li.upf
Dy 162.50 Dy.upf
Ti 47.87 Ti.upf
CELL_PARAMETERS angstrom
-3.927 5.243 -0.389
-0.868 -5.053 -4.096
-2.273 -2.656 5.503
ATOMIC_POSITIONS crystal
S 0.083 0.395 0.248
Li 0.500 0.500 0.500
S 0.395 0.083 0.248
S 0.605 0.917 0.752
S 0.917 0.605 0.752
Li 0.161 0.839 0.500
Dy 0.332 0.668 0.000
S 0.769 0.769 0.242
Dy 0.668 0.332 0.000
Ti 0.000 0.000 0.000
Li 0.839 0.161 0.500
S 0.231 0.231 0.758
! Space group = C2/m (12)
! Total energy = -67.52 eV/cell
! Size of the total moment = 1.01 μB/f.u.

---

! Li3Dy3TiS8, relaxed, DFT PBE; values from VASP
&SYSTEM
  ibrav = 0, nat = 15, ntyp = 4
/
ATOMIC_SPECIES
Li 6.94 Li.upf
S 32.06 S.upf
Dy 162.50 Dy.upf
Ti 47.87 Ti.upf
CELL_PARAMETERS angstrom
-1.112 3.311 -6.847
5.864 -4.866 1.009
-7.137 -2.540 -0.069
ATOMIC_POSITIONS crystal
Li 0.500 0.500 0.000
S 0.231 0.005 0.735
Dy 0.000 0.500 0.500
S 0.249 0.497 0.246
S 0.751 0.503 0.754
Dy 0.500 0.000 0.500
S 0.226 0.995 0.265
Li 0.000 0.500 0.000
Li 0.000 0.000 0.000
S 0.769 0.995 0.265
Ti 0.000 0.000 0.500
S 0.769 0.539 0.265
S 0.774 0.005 0.735
S 0.231 0.461 0.735
Dy 0.500 0.500 0.500
! Space group = R-3m (166)
! Total energy = -86.22 eV/cell
! Size of the total moment = 0.00 μB/f.u.

---

! Li4DyTm3S8, relaxed, DFT PBE; values from VASP
&SYSTEM
  ibrav = 0, nat = 16, ntyp = 4
/
ATOMIC_SPECIES
S 32.06 S.upf
Li 6.94 Li.upf
Tm 168.93 Tm.upf
Dy 162.50 Dy.upf
CELL_PARAMETERS angstrom
7.744 0.000 0.000
0.000 7.617 -0.098
-3.872 -3.868 5.477
ATOMIC_POSITIONS crystal
S 0.251 0.253 0.501
Li 0.000 0.000 0.000
Tm 0.000 0.500 0.500
Tm 0.500 0.500 0.500
Li 0.000 0.000 0.500
S 0.749 0.251 0.498
Tm 0.500 0.500 0.000
S 0.749 0.251 0.002
S 0.253 0.251 0.002
S 0.251 0.749 0.998
S 0.251 0.749 0.502
S 0.749 0.747 0.499
Li 0.500 0.000 0.000
Dy 0.000 0.500 0.000
S 0.747 0.749 0.998
Li 0.500 0.000 0.500
! Space group = R-3m (166)
! Total energy = -88.43 eV/cell
! Size of the total moment = 0.00 μB/f.u.

---

! Li4Dy3TmS8, relaxed, DFT PBE; values from VASP
&SYSTEM
  ibrav = 0, nat = 16, ntyp = 4
/
ATOMIC_SPECIES
S 32.06 S.upf
Li 6.94 Li.upf
Tm 168.93 Tm.upf
Dy 162.50 Dy.upf
CELL_PARAMETERS angstrom
-2.103 -7.455 0.908
1.805 -1.398 -7.294
5.202 3.202 4.847
ATOMIC_POSITIONS crystal
S 0.247 0.251 0.999
S 0.248 0.749 0.001
Li 0.000 0.000 0.000
S 0.752 0.251 0.999
S 0.752 0.251 0.503
Tm 0.000 0.500 0.000
S 0.753 0.749 0.001
Dy 0.500 0.500 0.000
Li 0.000 0.000 0.500
S 0.750 0.751 0.501
Dy 0.500 0.500 0.500
S 0.248 0.749 0.497
Li 0.500 0.000 0.000
S 0.250 0.249 0.499
Dy 0.000 0.500 0.500
Li 0.500 0.000 0.500
! Space group = R-3m (166)
! Total energy = -88.60 eV/cell
! Size of the total moment = 0.00 μB/f.u.

---

! Li2Dy3TmS6, relaxed, DFT PBE; values from VASP
&SYSTEM
  ibrav = 0, nat = 12, ntyp = 4
/
ATOMIC_SPECIES
S 32.06 S.upf
Tm 168.93 Tm.upf
Dy 162.50 Dy.upf
Li 6.94 Li.upf
CELL_PARAMETERS angstrom
6.681 0.000 0.002
-3.339 5.787 0.002
-1.113 -1.928 6.285
ATOMIC_POSITIONS crystal
S 0.746 0.746 0.243
S 0.254 0.254 0.757
Tm 0.000 0.000 0.000
S 0.081 0.416 0.241
Dy 0.500 0.500 0.500
S 0.919 0.584 0.759
Dy 0.168 0.832 0.500
Dy 0.832 0.168 0.500
S 0.584 0.919 0.759
S 0.416 0.081 0.241
Li 0.333 0.667 0.000
Li 0.667 0.333 0.000
! Space group = C2/m (12)
! Total energy = -69.75 eV/cell
! Size of the total moment = 0.00 μB/f.u.

---

! LiDyTm4S8, relaxed, DFT PBE; values from VASP
&SYSTEM
  ibrav = 0, nat = 14, ntyp = 4
/
ATOMIC_SPECIES
S 32.06 S.upf
Tm 168.93 Tm.upf
Li 6.94 Li.upf
Dy 162.50 Dy.upf
CELL_PARAMETERS angstrom
-5.844 -0.879 5.254
1.657 -2.085 7.445
-0.866 5.275 5.869
ATOMIC_POSITIONS crystal
S 0.756 0.226 0.262
S 0.245 0.245 0.740
S 0.756 0.756 0.262
Tm 0.005 0.486 0.505
Tm 0.005 0.005 0.505
S 0.226 0.756 0.262
S 0.759 0.759 0.724
Tm 0.625 0.625 0.124
Tm 0.486 0.005 0.505
S 0.769 0.245 0.740
S 0.243 0.243 0.271
Li 0.375 0.375 0.875
S 0.245 0.769 0.740
Dy 0.005 0.005 0.986
! Space group = R3m (160)
! Total energy = -85.06 eV/cell
! Size of the total moment = 0.00 μB/f.u.

---

! LiDy3Tm3S8, relaxed, DFT PBE; values from VASP
&SYSTEM
  ibrav = 0, nat = 15, ntyp = 4
/
ATOMIC_SPECIES
S 32.06 S.upf
Dy 162.50 Dy.upf
Tm 168.93 Tm.upf
Li 6.94 Li.upf
CELL_PARAMETERS angstrom
7.696 0.000 0.000
-3.848 6.665 -0.023
0.000 -4.421 6.316
ATOMIC_POSITIONS crystal
S 0.246 0.997 0.742
Dy 0.000 0.000 0.000
S 0.751 0.997 0.742
S 0.249 0.003 0.258
Tm 0.500 0.000 0.500
S 0.754 0.003 0.258
S 0.252 0.503 0.255
S 0.246 0.492 0.742
S 0.748 0.497 0.745
Dy 0.000 0.500 0.000
Dy 0.500 0.500 0.000
S 0.754 0.508 0.258
Tm 0.000 0.500 0.500
Li 0.000 0.000 0.500
Tm 0.500 0.500 0.500
! Space group = R-3m (166)
! Total energy = -92.03 eV/cell
! Size of the total moment = 0.00 μB/f.u.

---

! LiDyTmS3, relaxed, DFT PBE; values from VASP
&SYSTEM
  ibrav = 0, nat = 12, ntyp = 4
/
ATOMIC_SPECIES
S 32.06 S.upf
Li 6.94 Li.upf
Tm 168.93 Tm.upf
Dy 162.50 Dy.upf
CELL_PARAMETERS angstrom
3.767 0.000 0.000
0.000 7.928 0.147
0.000 -1.941 8.052
ATOMIC_POSITIONS crystal
S 0.750 0.220 0.494
Li 0.750 0.912 0.417
S 0.250 0.576 0.830
S 0.250 0.780 0.506
Li 0.250 0.088 0.583
Tm 0.250 0.663 0.167
S 0.250 0.095 0.869
S 0.750 0.424 0.170
Dy 0.250 0.187 0.220
Tm 0.750 0.337 0.833
S 0.750 0.905 0.131
Dy 0.750 0.813 0.780
! Space group = P2_1/m (11)
! Total energy = -68.26 eV/cell
! Size of the total moment = 0.00 μB/f.u.

---

! Li3DyTm2S6, relaxed, DFT PBE; values from VASP
&SYSTEM
  ibrav = 0, nat = 12, ntyp = 4
/
ATOMIC_SPECIES
S 32.06 S.upf
Tm 168.93 Tm.upf
Li 6.94 Li.upf
Dy 162.50 Dy.upf
CELL_PARAMETERS angstrom
6.713 -0.001 0.001
-3.356 5.814 0.001
-1.119 -1.938 6.165
ATOMIC_POSITIONS crystal
S 0.254 0.254 0.751
S 0.746 0.746 0.249
Tm 0.667 0.333 0.000
Li 0.833 0.167 0.500
S 0.419 0.083 0.249
Dy 0.000 0.000 0.000
Tm 0.333 0.667 0.000
S 0.917 0.581 0.751
S 0.083 0.419 0.249
S 0.581 0.917 0.751
Li 0.167 0.833 0.500
Li 0.500 0.500 0.500
! Space group = C2/m (12)
! Total energy = -66.35 eV/cell
! Size of the total moment = 0.00 μB/f.u.

---

! Li2DyTmS4, relaxed, DFT PBE; values from VASP
&SYSTEM
  ibrav = 0, nat = 8, ntyp = 4
/
ATOMIC_SPECIES
S 32.06 S.upf
Tm 168.93 Tm.upf
Li 6.94 Li.upf
Dy 162.50 Dy.upf
CELL_PARAMETERS angstrom
-2.785 -0.657 -2.631
4.688 -0.788 -4.765
-1.311 -5.770 2.829
ATOMIC_POSITIONS crystal
S 0.500 0.253 0.250
S 0.000 0.746 0.249
Tm 0.500 0.500 0.000
Li 0.000 0.500 0.500
Li 0.500 0.000 0.500
Dy 0.000 0.000 0.000
S 0.500 0.747 0.750
S 0.000 0.254 0.751
! Space group = P2/m (10)
! Total energy = -44.26 eV/cell
! Size of the total moment = 0.00 μB/f.u.

---

! Li2Dy2US6, relaxed, DFT PBE; values from VASP
&SYSTEM
  ibrav = 0, nat = 11, ntyp = 4
/
ATOMIC_SPECIES
Dy 162.50 Dy.upf
Li 6.94 Li.upf
S 32.06 S.upf
U 238.03 U.upf
CELL_PARAMETERS angstrom
-2.416 6.234 1.481
-1.621 -5.336 3.973
6.261 0.799 1.713
ATOMIC_POSITIONS crystal
Dy 0.335 0.665 0.500
Li 0.169 0.831 0.000
S 0.407 0.072 0.744
S 0.593 0.928 0.256
S 0.243 0.243 0.257
U 0.000 0.000 0.500
S 0.072 0.407 0.744
S 0.928 0.593 0.256
Dy 0.665 0.335 0.500
Li 0.831 0.169 0.000
S 0.757 0.757 0.743
! Space group = C2/m (12)
! Total energy = -67.63 eV/cell
! Size of the total moment = 2.00 μB/f.u.

---

! LiDyUS4, relaxed, DFT PBE; values from VASP
&SYSTEM
  ibrav = 0, nat = 14, ntyp = 4
/
ATOMIC_SPECIES
S 32.06 S.upf
U 238.03 U.upf
Dy 162.50 Dy.upf
Li 6.94 Li.upf
CELL_PARAMETERS angstrom
-5.237 -4.248 4.309
-5.303 -4.667 -3.616
0.654 -7.897 0.440
ATOMIC_POSITIONS crystal
S 0.245 0.238 0.272
S 0.245 0.772 0.738
U 0.500 0.000 0.500
S 0.227 0.761 0.261
S 0.752 0.761 0.261
S 0.755 0.762 0.728
Dy 0.000 0.500 0.500
U 0.000 0.000 0.500
Li 0.618 0.632 0.132
Dy 0.000 0.000 0.000
S 0.248 0.239 0.739
S 0.755 0.228 0.262
S 0.773 0.239 0.739
Li 0.382 0.368 0.868
! Space group = Imma (74)
! Total energy = -91.40 eV/cell
! Size of the total moment = 2.00 μB/f.u.

---

! Li3Dy4US8, relaxed, DFT PBE; values from VASP
&SYSTEM
  ibrav = 0, nat = 16, ntyp = 4
/
ATOMIC_SPECIES
Dy 162.50 Dy.upf
S 32.06 S.upf
U 238.03 U.upf
Li 6.94 Li.upf
CELL_PARAMETERS angstrom
-0.314 5.562 5.406
-5.621 3.518 -3.946
-0.743 -7.450 2.049
ATOMIC_POSITIONS crystal
Dy 0.500 0.000 0.500
S 0.749 0.747 0.498
S 0.250 0.744 0.994
Dy 0.500 0.000 0.000
S 0.750 0.256 0.006
S 0.250 0.744 0.500
Dy 0.000 0.000 0.000
Dy 0.000 0.000 0.500
U 0.000 0.500 0.000
Li 0.500 0.500 0.000
Li 0.500 0.500 0.500
S 0.251 0.253 0.502
Li 0.000 0.500 0.500
S 0.744 0.744 0.994
S 0.750 0.256 0.500
S 0.256 0.256 0.006
! Space group = R-3m (166)
! Total energy = -96.86 eV/cell
! Size of the total moment = 2.80 μB/f.u.

---

! LiDy2US6, relaxed, DFT PBE; values from VASP
&SYSTEM
  ibrav = 0, nat = 10, ntyp = 4
/
ATOMIC_SPECIES
S 32.06 S.upf
U 238.03 U.upf
Li 6.94 Li.upf
Dy 162.50 Dy.upf
CELL_PARAMETERS angstrom
6.333 0.000 0.000
0.000 6.324 0.000
0.000 0.000 6.324
ATOMIC_POSITIONS crystal
S 0.179 0.500 0.500
S 0.745 0.240 0.240
U 0.595 0.500 0.500
Li 0.538 0.000 0.000
S 0.171 0.000 0.000
S 0.745 0.240 0.760
S 0.745 0.760 0.240
Dy 0.991 0.000 0.500
S 0.745 0.760 0.760
Dy 0.991 0.500 0.000
! Space group = P4mm (99)
! Total energy = -60.17 eV/cell
! Size of the total moment = 1.00 μB/f.u.